Record 1
An optimized crystal structure of Ti2Cr2Fe. Source: Alexandria, functional GGA-PBE.

a b c (Å): 5.844 5.844 4.072
angles (deg): 90.00 90.00 90.00
Fractional coordinates of all 10 atoms:
1 Ti 0.176 0.324 0.000
2 Ti 0.324 0.824 0.000
3 Ti 0.676 0.176 0.000
4 Ti 0.824 0.676 0.000
5 Cr 0.139 0.639 0.500
6 Cr 0.361 0.139 0.500
7 Cr 0.639 0.861 0.500
8 Cr 0.861 0.361 0.500
9 Fe 0.000 0.000 0.500
10 Fe 0.500 0.500 0.500

Computed properties:
Space-group type = P4/mbm, No. 127
Calculated formation energy = 0.1442 eV per atom

=====

Record 2
An optimized crystal structure of Mg2AuSe. Source: Alexandria, functional GGA-PBE.

a b c (Å): 6.725 6.725 3.747
angles (deg): 106.09 106.09 32.41
Fractional coordinates of all 4 atoms:
1 Mg 0.000 0.000 0.000
2 Mg 0.668 0.668 0.666
3 Au 0.446 0.446 0.447
4 Se 0.222 0.222 0.220

Computed properties:
Space-group type = Cm, No. 8

=====

Asked for total energy across the records above, the calculation gives -8.556 -3.180 eV per atom in order.